1.
Here is NaTb2Mg after structural relaxation from the Alexandria database. Energies are from PBE.

a = 12.5618 Å, b = 12.5618 Å, c = 12.5618 Å
α = 15.71°, β = 15.71°, γ = 15.71°
Sites, in units of the cell vectors:
Na 0.0000 0.0000 0.0000
Tb 0.0950 0.0950 0.0950
Tb 0.9050 0.9050 0.9050
Mg 0.5000 0.5000 0.5000

Values from the calculation:
E in Ha/atom: -0.1052
Excess energy over the best structure of this formula in the dataset in meV/atom: 50.0
Spin magnetization in μB/cell: 0.0

***

2.
Here is NaTbMg14 after structural relaxation from the Alexandria database. Energies are from PBE.

a = 6.6316 Å, b = 6.6316 Å, c = 8.8423 Å
α = 90.00°, β = 90.00°, γ = 90.00°
Sites, in units of the cell vectors:
Na 0.0000 0.0000 0.0000
Tb 0.5000 0.5000 0.0000
Mg 0.0000 0.0000 0.5000
Mg 0.0000 0.5000 0.0000
Mg 0.0000 0.5000 0.5000
Mg 0.2507 0.2507 0.2602
Mg 0.2507 0.2507 0.7398
Mg 0.2507 0.7493 0.2602
Mg 0.2507 0.7493 0.7398
Mg 0.5000 0.0000 0.0000
Mg 0.5000 0.0000 0.5000
Mg 0.5000 0.5000 0.5000
Mg 0.7493 0.2507 0.2602
Mg 0.7493 0.2507 0.7398
Mg 0.7493 0.7493 0.2602
Mg 0.7493 0.7493 0.7398

Values from the calculation:
E in Ha/atom: -0.0645
Spin magnetization in μB/cell: 0.0

***

3.
Here is NaTb2Mg after structural relaxation from the Alexandria database. Energies are from PBE.

a = 3.7749 Å, b = 3.7749 Å, c = 8.5461 Å
α = 90.00°, β = 90.00°, γ = 90.00°
Sites, in units of the cell vectors:
Na 0.0000 0.0000 0.0000
Tb 0.5000 0.5000 0.2877
Tb 0.5000 0.5000 0.7123
Mg 0.0000 0.0000 0.5000

Values from the calculation:
E in Ha/atom: -0.1071
Excess energy over the best structure of this formula in the dataset in meV/atom: 0.0
Spin magnetization in μB/cell: 0.0

***

4.
Here is NaMg2Tc after structural relaxation from the Alexandria database. Energies are from PBE.

a = 10.1292 Å, b = 10.1292 Å, c = 10.1292 Å
α = 156.02°, β = 156.02°, γ = 34.17°
Sites, in units of the cell vectors:
Na 0.0000 0.0000 0.0000
Na 0.7500 0.2500 0.5000
Mg 0.1511 0.6250 0.0261
Mg 0.3750 0.4011 0.5261
Mg 0.5989 0.1250 0.9739
Mg 0.8750 0.8489 0.4739
Tc 0.2500 0.7500 0.5000
Tc 0.5000 0.5000 0.0000

Values from the calculation:
E in Ha/atom: -0.1017
Excess energy over the best structure of this formula in the dataset in meV/atom: 428.9
Spin magnetization in μB/cell: 1.8

***

Number 1: E_form 0.18 eV per atom. Number 2: E_form 0.01 eV per atom. Number 3: E_form 0.13 eV per atom. Number 4: E_form 0.95 eV per atom.